No. 1
# ErAsO4, single point on PBEsol structure, DFT meta-GGA SCAN
# **Energy relative to the elements, uncorrected**: -2644.7 meV/atom
# **Crystal system**: tetragonal
data_ErAsO4
_cell_length_a 7.002
_cell_length_b 7.002
_cell_length_c 6.255
_cell_angle_alpha 90.00
_cell_angle_beta 90.00
_cell_angle_gamma 90.00
_symmetry_space_group_name_H-M 'I 41/a m d'
_symmetry_Int_Tables_number 141
loop_
_symmetry_equiv_pos_as_xyz
'x,y,z'
'-x,-y,-z'
'-y+1/4,x+3/4,z+1/4'
'y+1/4,-x+3/4,-z+1/4'
'-x+1/2,-y,z+1/2'
'x+1/2,y,-z+1/2'
'y+1/4,-x+1/4,z+3/4'
'-y+1/4,x+1/4,-z+3/4'
'x,-y,-z'
'-x,y,z'
'-y+1/4,-x+1/4,-z+3/4'
'y+1/4,x+1/4,z+3/4'
'-x+1/2,y,-z+1/2'
'x+1/2,-y,z+1/2'
'y+1/4,x+3/4,-z+1/4'
'-y+1/4,-x+3/4,z+1/4'
'x+1/2,y+1/2,z+1/2'
'-x+1/2,-y+1/2,-z+1/2'
'-y+3/4,x+1/4,z+3/4'
'y+3/4,-x+1/4,-z+3/4'
'-x,-y+1/2,z'
'x,y+1/2,-z'
'y+3/4,-x+3/4,z+1/4'
'-y+3/4,x+3/4,-z+1/4'
'x+1/2,-y+1/2,-z+1/2'
'-x+1/2,y+1/2,z+1/2'
'-y+3/4,-x+3/4,-z+1/4'
'y+3/4,x+3/4,z+1/4'
'-x,y+1/2,-z'
'x,-y+1/2,z'
'y+3/4,x+1/4,-z+3/4'
'-y+3/4,-x+1/4,z+3/4'
loop_
_atom_site_label
_atom_site_type_symbol
_atom_site_fract_x
_atom_site_fract_y
_atom_site_fract_z
Er1 Er 0.000 0.250 0.375
As1 As 0.000 0.250 0.875
O1 O 0.000 0.067 0.695

=====

No. 2
# ErAsPd, single point on PBEsol structure, DFT meta-GGA SCAN
# **ΔH_f (0 K)**: -1314.8 meV/atom
# **Crystal system**: orthorhombic
data_ErAsPd
_cell_length_a 6.886
_cell_length_b 4.058
_cell_length_c 7.803
_cell_angle_alpha 90.00
_cell_angle_beta 90.00
_cell_angle_gamma 90.00
_symmetry_space_group_name_H-M 'P n m a'
_symmetry_Int_Tables_number 62
loop_
_symmetry_equiv_pos_as_xyz
'x,y,z'
'-x,-y,-z'
'-x+1/2,-y,z+1/2'
'x+1/2,y,-z+1/2'
'x+1/2,-y+1/2,-z+1/2'
'-x+1/2,y+1/2,z+1/2'
'-x,y+1/2,-z'
'x,-y+1/2,z'
loop_
_atom_site_label
_atom_site_type_symbol
_atom_site_fract_x
_atom_site_fract_y
_atom_site_fract_z
Er1 Er 0.030 0.250 0.190
As1 As 0.249 0.250 0.879
Pd1 Pd 0.141 0.250 0.562

=====

No. 3
# ErTeAs, single point on PBEsol structure, DFT meta-GGA SCAN
# **Energy relative to the elements, uncorrected**: -1260.9 meV/atom
# **Crystal system**: orthorhombic
data_ErTeAs
_cell_length_a 7.366
_cell_length_b 3.990
_cell_length_c 9.695
_cell_angle_alpha 90.00
_cell_angle_beta 90.00
_cell_angle_gamma 90.00
_symmetry_space_group_name_H-M 'P n m a'
_symmetry_Int_Tables_number 62
loop_
_symmetry_equiv_pos_as_xyz
'x,y,z'
'-x,-y,-z'
'-x+1/2,-y,z+1/2'
'x+1/2,y,-z+1/2'
'x+1/2,-y+1/2,-z+1/2'
'-x+1/2,y+1/2,z+1/2'
'-x,y+1/2,-z'
'x,-y+1/2,z'
loop_
_atom_site_label
_atom_site_type_symbol
_atom_site_fract_x
_atom_site_fract_y
_atom_site_fract_z
Er1 Er 0.233 0.250 0.159
Te1 Te 0.085 0.250 0.853
As1 As 0.101 0.250 0.460

=====

No. 4
# EuAs3, single point on PBEsol structure, DFT meta-GGA SCAN
# **ΔH_f (0 K)**: -715.8 meV/atom
# **Crystal system**: monoclinic
data_EuAs3
_cell_length_a 9.183
_cell_length_b 7.471
_cell_length_c 5.563
_cell_angle_alpha 90.00
_cell_angle_beta 111.56
_cell_angle_gamma 90.00
_symmetry_space_group_name_H-M 'C 1 2/m 1'
_symmetry_Int_Tables_number 12
loop_
_symmetry_equiv_pos_as_xyz
'x,y,z'
'-x,-y,-z'
'-x,y,-z'
'x,-y,z'
'x+1/2,y+1/2,z'
'-x+1/2,-y+1/2,-z'
'-x+1/2,y+1/2,-z'
'x+1/2,-y+1/2,z'
loop_
_atom_site_label
_atom_site_type_symbol
_atom_site_fract_x
_atom_site_fract_y
_atom_site_fract_z
Eu1 Eu 0.166 0.000 0.325
As1 As 0.014 0.500 0.232
As2 As 0.137 0.217 0.795

=====

No. 5
# EuFe2As2, single point on PBEsol structure, DFT meta-GGA SCAN
# **ΔH_f (0 K)**: -533.8 meV/atom
# **Crystal system**: tetragonal
data_EuFe2As2
_cell_length_a 3.933
_cell_length_b 3.933
_cell_length_c 10.390
_cell_angle_alpha 90.00
_cell_angle_beta 90.00
_cell_angle_gamma 90.00
_symmetry_space_group_name_H-M 'I 4/m m m'
_symmetry_Int_Tables_number 139
_symmetry_space_group_name_Hall '-I 4 2'
loop_
_atom_site_label
_atom_site_type_symbol
_atom_site_fract_x
_atom_site_fract_y
_atom_site_fract_z
Eu1 Eu 0.000 0.000 0.000
Fe1 Fe 0.000 0.500 0.250
As1 As 0.000 0.000 0.362

=====

No. 6
# LiEuAsS3, single point on PBEsol structure, DFT meta-GGA SCAN
# **Energy relative to the elements, uncorrected**: -1269.1 meV/atom
# **Crystal system**: monoclinic
data_LiEuAsS3
_cell_length_a 5.543
_cell_length_b 12.959
_cell_length_c 6.958
_cell_angle_alpha 90.00
_cell_angle_beta 103.75
_cell_angle_gamma 90.00
_symmetry_space_group_name_H-M 'P 1 21/c 1'
_symmetry_Int_Tables_number 14
loop_
_symmetry_equiv_pos_as_xyz
'x,y,z'
'-x,-y,-z'
'-x,y+1/2,-z+1/2'
'x,-y+1/2,z+1/2'
loop_
_atom_site_label
_atom_site_type_symbol
_atom_site_fract_x
_atom_site_fract_y
_atom_site_fract_z
Li1 Li 0.224 0.210 0.429
Eu1 Eu 0.177 0.581 0.766
As1 As 0.376 0.596 0.344
S1 S 0.198 0.125 0.110
S2 S 0.255 0.717 0.105
S3 S 0.296 0.046 0.641

=====

No. 7
# EuMn2As2, single point on PBEsol structure, DFT meta-GGA SCAN
# **ΔH_f (0 K)**: -714.9 meV/atom
# **Crystal system**: trigonal
data_EuMn2As2
_cell_length_a 3.9282
_cell_length_b 3.9282
_cell_length_c 6.9594
_cell_angle_alpha 90.00
_cell_angle_beta 90.00
_cell_angle_gamma 120.00
_symmetry_space_group_name_H-M 'P -3 m 1'
_symmetry_Int_Tables_number 164
_symmetry_space_group_name_Hall '-P 3 2"'
loop_
_atom_site_label
_atom_site_type_symbol
_atom_site_fract_x
_atom_site_fract_y
_atom_site_fract_z
Eu1 Eu 0.0000 0.0000 0.0000
Mn1 Mn 0.3333 0.6667 0.6143
As1 As 0.3333 0.6667 0.2738

=====

No. 8
# EuNi5As3, single point on PBEsol structure, DFT meta-GGA SCAN
# **ΔH_f (0 K)**: -601.2 meV/atom
# **Crystal system**: orthorhombic
data_EuNi5As3
_cell_length_a 3.686
_cell_length_b 12.029
_cell_length_c 11.662
_cell_angle_alpha 90.00
_cell_angle_beta 90.00
_cell_angle_gamma 90.00
_symmetry_space_group_name_H-M 'C m c m'
_symmetry_Int_Tables_number 63
_symmetry_space_group_name_Hall '-C 2c 2'
loop_
_atom_site_label
_atom_site_type_symbol
_atom_site_fract_x
_atom_site_fract_y
_atom_site_fract_z
Eu1 Eu 0.000 0.163 0.250
Ni1 Ni 0.000 0.000 0.000
Ni2 Ni 0.000 0.194 0.566
Ni3 Ni 0.000 0.450 0.144
As1 As 0.000 0.116 0.750
As2 As 0.000 0.380 0.545

=====

No. 9
# EuAs2Pd2, single point on PBEsol structure, DFT meta-GGA SCAN
# **ΔH_f (0 K)**: -900.5 meV/atom
# **Crystal system**: tetragonal
data_EuAs2Pd2
_cell_length_a 4.267
_cell_length_b 4.267
_cell_length_c 10.274
_cell_angle_alpha 90.00
_cell_angle_beta 90.00
_cell_angle_gamma 90.00
_symmetry_space_group_name_H-M 'I 4/m m m'
_symmetry_Int_Tables_number 139
_symmetry_space_group_name_Hall '-I 4 2'
loop_
_atom_site_label
_atom_site_type_symbol
_atom_site_fract_x
_atom_site_fract_y
_atom_site_fract_z
Eu1 Eu 0.000 0.000 0.000
As1 As 0.000 0.000 0.379
Pd1 Pd 0.000 0.500 0.250

=====

No. 10
# EuAsPt, single point on PBEsol structure, DFT meta-GGA SCAN
# **ΔH_f (0 K)**: -1287.0 meV/atom
# **Crystal system**: tetragonal
data_EuAsPt
_cell_length_a 4.155
_cell_length_b 4.155
_cell_length_c 14.920
_cell_angle_alpha 90.00
_cell_angle_beta 90.00
_cell_angle_gamma 90.00
_symmetry_space_group_name_H-M 'I 41 m d'
_symmetry_Int_Tables_number 109
_symmetry_space_group_name_Hall 'I 4bw -2'
loop_
_atom_site_label
_atom_site_type_symbol
_atom_site_fract_x
_atom_site_fract_y
_atom_site_fract_z
Eu1 Eu 0.000 0.000 0.000
As1 As 0.000 0.000 0.419
Pt1 Pt 0.000 0.000 0.583

=====

No. 11
# EuAs2Rh2, single point on PBEsol structure, DFT meta-GGA SCAN
# **ΔH_f (0 K)**: -952.9 meV/atom
# **Crystal system**: tetragonal
data_EuAs2Rh2
_cell_length_a 4.008
_cell_length_b 4.008
_cell_length_c 11.244
_cell_angle_alpha 90.00
_cell_angle_beta 90.00
_cell_angle_gamma 90.00
_symmetry_space_group_name_H-M 'I 4/m m m'
_symmetry_Int_Tables_number 139
_symmetry_space_group_name_Hall '-I 4 2'
loop_
_atom_site_label
_atom_site_type_symbol
_atom_site_fract_x
_atom_site_fract_y
_atom_site_fract_z
Eu1 Eu 0.000 0.000 0.000
As1 As 0.000 0.000 0.375
Rh1 Rh 0.000 0.500 0.250

=====

No. 12
# EuAs2Ru2, single point on PBEsol structure, DFT meta-GGA SCAN
# **ΔH_f (0 K)**: -824.4 meV/atom
# **Crystal system**: tetragonal
data_EuAs2Ru2
_cell_length_a 4.153
_cell_length_b 4.153
_cell_length_c 10.396
_cell_angle_alpha 90.00
_cell_angle_beta 90.00
_cell_angle_gamma 90.00
_symmetry_space_group_name_H-M 'I 4/m m m'
_symmetry_Int_Tables_number 139
_symmetry_space_group_name_Hall '-I 4 2'
loop_
_atom_site_label
_atom_site_type_symbol
_atom_site_fract_x
_atom_site_fract_y
_atom_site_fract_z
Eu1 Eu 0.000 0.000 0.000
As1 As 0.000 0.000 0.368
Ru1 Ru 0.000 0.500 0.250